Here is a relaxed LiCu2GeS4 crystal from the Alexandria database. Energies are from PBE.

Lattice parameters (Å, degrees): 5.435 5.435 6.451 114.91 114.91 90.00
Sites, in units of the cell vectors:
Li (0.000, 0.000, 0.000)
Cu (0.750, 0.250, 0.500)
Cu (0.250, 0.750, 0.500)
Ge (0.500, 0.500, 0.000)
S (0.608, 0.608, 0.742)
S (0.392, 0.866, 0.258)
S (0.866, 0.392, 0.258)
S (0.134, 0.134, 0.742)

## Properties
- symmetry = I-42m (121)
- raw formation energy (eV per atom) = -0.516
- total moment (μB per formula unit) = 0.00